Below is a geometry-optimized PmZn2TcH6 structure, with properties calculated at the PBE-GGA level.

The structure belongs to space group P2_1/c (No. 14); the cell edges are 4.547, 5.884 and 8.543 Å and the angles 90.00°, 122.14° and 90.00°. The inequivalent atoms are Pm at (0.000, 0.000, 0.000), Zn at (0.231, 0.034, 0.714), Tc at (0.500, 0.000, 0.500), H at (0.139, 0.126, 0.298), H at (0.196, 0.646, 0.025) and H at (0.465, 0.712, 0.407).

The value obtained for the total energy is -0.282 Ry per atom. The total magnetization comes out at 0.00 μB/atom.



Below is a geometry-optimized BaCd2Ge2 structure, with properties calculated at the PBE-GGA level.

The structure belongs to space group I4/mmm (No. 139); the cell edges are 4.839, 4.839 and 11.351 Å and the angles 90.00°, 90.00° and 90.00°. The inequivalent atoms are Ba at (0.000, 0.000, 0.000), Cd at (0.000, 0.000, 0.375) and Ge at (0.000, 0.500, 0.250).

The value obtained for the total energy is -0.211 Ry per atom. The total magnetization comes out at 0.00 μB/atom. The value obtained for the formation energy is -0.2749 eV per atom.



Below is a geometry-optimized CuHg2Ru structure, with properties calculated at the PBE-GGA level.

The structure belongs to space group I-42d (No. 122); the cell edges are 4.028, 4.028 and 18.993 Å and the angles 90.00°, 90.00° and 90.00°. The inequivalent atoms are Cu at (0.000, 0.000, 0.000), Hg at (0.248, 0.250, 0.125) and Ru at (0.000, 0.000, 0.500).

The value obtained for the total energy is -0.202 Ry per atom. The total magnetization comes out at 0.14 μB/atom. The value obtained for the formation energy is 0.7400 eV per atom. Its energy above the lowest structure with this stoichiometry is 0.3513 eV per atom.